No. 1
Cr3TcBr, optimized geometry, DFT GGA-PBE; E above lowest polymorph = 2.28 eV/f.u.; formation energy without anion corrections = 8.34 eV/f.u.; space-group type = Pm-3m; calculated volume = 15.69 A^3/atom; E = -6.5142 eV/atom
1.0
4.281 0.000 0.000
0.000 4.281 0.000
0.000 0.000 4.281
Cr Tc Br
3 1 1
Direct
0.000 0.000 0.500 Cr
0.000 0.500 0.000 Cr
0.500 0.000 0.000 Cr
0.500 0.500 0.500 Tc
0.000 0.000 0.000 Br

***

No. 2
Ba3SrRu2O9, optimized geometry, DFT GGA-PBE; E above lowest polymorph = 0.00 eV/f.u.; formation energy without anion corrections = -30.15 eV/f.u.; space-group type = C2/c; calculated volume = 16.22 A^3/atom; E = -6.7186 eV/atom
1.0
3.042 -5.216 0.000
3.042 5.216 0.000
-0.562 0.000 15.337
Ba Sr Ru O
6 2 4 18
Direct
0.007 0.993 0.750 Ba
0.326 0.653 0.394 Ba
0.347 0.674 0.106 Ba
0.653 0.326 0.894 Ba
0.674 0.347 0.606 Ba
0.993 0.007 0.250 Ba
0.000 0.000 0.000 Sr
0.000 0.000 0.500 Sr
0.308 0.643 0.841 Ru
0.357 0.692 0.659 Ru
0.643 0.308 0.341 Ru
0.692 0.357 0.159 Ru
0.041 0.519 0.735 O
0.115 0.771 0.898 O
0.124 0.313 0.889 O
0.229 0.422 0.573 O
0.229 0.885 0.602 O
0.313 0.124 0.389 O
0.422 0.229 0.073 O
0.481 0.959 0.765 O
0.484 0.516 0.750 O
0.516 0.484 0.250 O
0.519 0.041 0.235 O
0.578 0.771 0.927 O
0.687 0.876 0.611 O
0.771 0.115 0.398 O
0.771 0.578 0.427 O
0.876 0.687 0.111 O
0.885 0.229 0.102 O
0.959 0.481 0.265 O

***

No. 3
ScTaPd14, optimized geometry, DFT GGA-PBE; space-group type = P4/mmm; calculated volume = 15.64 A^3/atom; E = -6.0394 eV/atom
1.0
5.642 0.000 0.000
0.000 5.642 0.000
0.000 0.000 7.863
Sc Ta Pd
1 1 14
Direct
0.000 0.000 0.000 Sc
0.500 0.500 0.000 Ta
0.000 0.000 0.500 Pd
0.000 0.500 0.000 Pd
0.000 0.500 0.500 Pd
0.253 0.253 0.246 Pd
0.253 0.253 0.754 Pd
0.253 0.747 0.246 Pd
0.253 0.747 0.754 Pd
0.500 0.000 0.000 Pd
0.500 0.000 0.500 Pd
0.500 0.500 0.500 Pd
0.747 0.253 0.246 Pd
0.747 0.253 0.754 Pd
0.747 0.747 0.246 Pd
0.747 0.747 0.754 Pd

***

No. 4
CrPCCl2, optimized geometry, DFT GGA-PBE; E above lowest polymorph = 1.43 eV/f.u.; formation energy without anion corrections = 7.89 eV/f.u.; space-group type = P4/mmm; calculated volume = 15.03 A^3/atom; E = -4.0121 eV/atom
1.0
4.282 0.000 0.000
0.000 4.282 0.000
0.000 0.000 4.100
Cr P C Cl
1 1 1 2
Direct
0.000 0.000 0.000 Cr
0.500 0.500 0.000 P
0.500 0.500 0.500 C
0.000 0.500 0.500 Cl
0.500 0.000 0.500 Cl

***

No. 5
CsRb2BBr6, optimized geometry, DFT GGA-PBE; formation energy without anion corrections = -8.92 eV/f.u.; space-group type = I4/mmm; calculated volume = 37.03 A^3/atom; E = -2.8419 eV/atom
1.0
-4.039 4.039 5.676
4.039 -4.039 5.676
4.039 4.039 -5.676
Cs Rb B Br
1 2 1 6
Direct
0.000 0.000 0.000 Cs
0.250 0.750 0.500 Rb
0.750 0.250 0.500 Rb
0.500 0.500 0.000 B
0.294 0.294 0.588 Br
0.294 0.706 0.000 Br
0.295 0.295 0.000 Br
0.705 0.705 0.000 Br
0.706 0.294 0.000 Br
0.706 0.706 0.412 Br

***

No. 6
MgTl2SnHg2, optimized geometry, DFT GGA-PBE; space-group type = Ibam; calculated volume = 27.94 A^3/atom; E = -1.8481 eV/atom
1.0
-3.320 7.634 3.308
3.320 -7.634 3.308
3.320 7.634 -3.308
Mg Tl Sn Hg
2 4 2 4
Direct
0.250 0.250 0.000 Mg
0.750 0.750 0.000 Mg
0.170 0.731 0.901 Tl
0.330 0.231 0.561 Tl
0.670 0.769 0.439 Tl
0.830 0.269 0.099 Tl
0.250 0.750 0.500 Sn
0.750 0.250 0.500 Sn
0.128 0.214 0.342 Hg
0.372 0.714 0.086 Hg
0.628 0.286 0.914 Hg
0.872 0.786 0.658 Hg

***

No. 7
Tl3Cd2Pb, optimized geometry, DFT GGA-PBE; space-group type = C2/m; calculated volume = 28.57 A^3/atom; E = -2.0844 eV/atom
1.0
9.484 -1.827 0.000
9.484 1.827 0.000
-5.306 0.000 9.895
Tl Cd Pb
6 4 2
Direct
0.087 0.087 0.215 Tl
0.265 0.265 0.154 Tl
0.411 0.411 0.042 Tl
0.589 0.589 0.958 Tl
0.735 0.735 0.846 Tl
0.913 0.913 0.785 Tl
0.255 0.255 0.618 Cd
0.390 0.390 0.523 Cd
0.610 0.610 0.477 Cd
0.745 0.745 0.382 Cd
0.059 0.059 0.669 Pb
0.941 0.941 0.331 Pb

***

No. 8
Ti2Tl2NiSe6, optimized geometry, DFT GGA-PBE; formation energy without anion corrections = -7.77 eV/f.u.; space-group type = C2/m; calculated volume = 25.09 A^3/atom; E = -4.9979 eV/atom
1.0
3.176 -5.538 0.000
3.176 5.538 0.000
-2.258 0.000 7.844
Ti Tl Ni Se
2 2 1 6
Direct
0.171 0.829 0.000 Ti
0.829 0.171 0.000 Ti
0.332 0.668 0.500 Tl
0.668 0.332 0.500 Tl
0.500 0.500 0.000 Ni
0.106 0.431 0.815 Se
0.237 0.237 0.181 Se
0.431 0.106 0.815 Se
0.569 0.894 0.185 Se
0.763 0.763 0.819 Se
0.894 0.569 0.185 Se

***

No. 9
NaCd3Pb3, optimized geometry, DFT GGA-PBE; E above lowest polymorph = 2.10 eV/f.u.; space-group type = Pm-3n; calculated volume = 40.25 A^3/atom; E = -1.8880 eV/atom
1.0
8.260 0.000 0.000
0.000 8.260 0.000
0.000 0.000 8.260
Na Cd Pb
2 6 6
Direct
0.000 0.000 0.000 Na
0.500 0.500 0.500 Na
0.000 0.250 0.500 Cd
0.000 0.750 0.500 Cd
0.250 0.500 0.000 Cd
0.500 0.000 0.250 Cd
0.500 0.000 0.750 Cd
0.750 0.500 0.000 Cd
0.000 0.500 0.250 Pb
0.000 0.500 0.750 Pb
0.250 0.000 0.500 Pb
0.500 0.250 0.000 Pb
0.500 0.750 0.000 Pb
0.750 0.000 0.500 Pb

***

No. 10
Sr3Sn3Hg8, optimized geometry, DFT GGA-PBE; E above lowest polymorph = 0.00 eV/f.u.; space-group type = C2/m; calculated volume = 28.24 A^3/atom; E = -1.7367 eV/atom
1.0
9.083 -2.578 0.000
9.083 2.578 0.000
-5.669 0.000 8.441
Sr Sn Hg
3 3 8
Direct
0.000 0.000 0.000 Sr
0.296 0.296 0.292 Sr
0.704 0.704 0.708 Sr
0.000 0.000 0.500 Sn
0.356 0.356 0.717 Sn
0.644 0.644 0.283 Sn
0.144 0.144 0.866 Hg
0.157 0.157 0.446 Hg
0.340 0.340 0.978 Hg
0.493 0.493 0.319 Hg
0.507 0.507 0.681 Hg
0.660 0.660 0.022 Hg
0.843 0.843 0.554 Hg
0.856 0.856 0.134 Hg

***

No. 11
Pr8ZnIr2, optimized geometry, DFT GGA-PBE; space-group type = Cm; calculated volume = 31.10 A^3/atom; E = -5.4300 eV/atom
1.0
4.355 -6.508 0.000
4.355 6.508 0.000
-1.508 0.000 6.035
Pr Zn Ir
8 1 2
Direct
0.000 0.000 0.000 Pr
0.018 0.289 0.579 Pr
0.117 0.589 0.199 Pr
0.289 0.018 0.579 Pr
0.429 0.693 0.811 Pr
0.589 0.117 0.199 Pr
0.693 0.429 0.811 Pr
0.734 0.734 0.409 Pr
0.361 0.361 0.329 Zn
0.045 0.672 0.702 Ir
0.672 0.045 0.702 Ir

***

No. 12
ErClF2, optimized geometry, DFT GGA-PBE; E above lowest polymorph = 0.00 eV/f.u.; formation energy without anion corrections = -13.97 eV/f.u.; space-group type = Cmcm; calculated volume = 15.65 A^3/atom; E = -6.0296 eV/atom
1.0
1.849 -4.922 0.000
1.849 4.922 0.000
0.000 0.000 6.877
Er Cl F
2 2 4
Direct
0.241 0.759 0.750 Er
0.759 0.241 0.250 Er
0.046 0.954 0.250 Cl
0.954 0.046 0.750 Cl
0.319 0.681 0.068 F
0.319 0.681 0.432 F
0.681 0.319 0.568 F
0.681 0.319 0.932 F

***

No. 13
Nd4Sm3Al4, optimized geometry, DFT GGA-PBE; space-group type = Immm; calculated volume = 29.04 A^3/atom; E = -4.5934 eV/atom
1.0
-1.814 4.657 9.452
1.814 -4.657 9.452
1.814 4.657 -9.452
Nd Sm Al
4 3 4
Direct
0.013 0.834 0.179 Nd
0.345 0.166 0.179 Nd
0.655 0.834 0.821 Nd
0.987 0.166 0.821 Nd
0.000 0.500 0.500 Sm
0.406 0.406 0.000 Sm
0.594 0.594 0.000 Sm
0.274 0.774 0.500 Al
0.279 0.000 0.279 Al
0.721 0.000 0.721 Al
0.726 0.226 0.500 Al

***

No. 14
ReOs3, optimized geometry, DFT GGA-PBE; E above lowest polymorph = 2.89 eV/f.u.; space-group type = P4/mmm; calculated volume = 14.98 A^3/atom; E = -10.8944 eV/atom
1.0
3.285 0.000 0.000
0.000 3.285 0.000
0.000 0.000 11.104
Re Os
2 6
Direct
0.000 0.000 0.131 Re
0.000 0.000 0.869 Re
0.000 0.000 0.374 Os
0.000 0.000 0.626 Os
0.500 0.500 0.000 Os
0.500 0.500 0.250 Os
0.500 0.500 0.500 Os
0.500 0.500 0.750 Os

***

No. 15
MgCrW2, optimized geometry, DFT GGA-PBE; E above lowest polymorph = 0.66 eV/f.u.; space-group type = Pmmm; calculated volume = 15.79 A^3/atom; E = -8.8190 eV/atom
1.0
3.194 0.000 0.000
0.000 4.366 0.000
0.000 0.000 4.528
Mg Cr W
1 1 2
Direct
0.000 0.000 0.000 Mg
0.500 0.500 0.000 Cr
0.000 0.500 0.500 W
0.500 0.000 0.500 W

***

No. 16
Sb2Pb2F, optimized geometry, DFT GGA-PBE; E above lowest polymorph = 0.73 eV/f.u.; formation energy without anion corrections = -1.81 eV/f.u.; space-group type = I4/mmm; calculated volume = 31.77 A^3/atom; E = -3.8689 eV/atom
1.0
-2.254 2.254 7.819
2.254 -2.254 7.819
2.254 2.254 -7.819
Sb Pb F
2 2 1
Direct
0.250 0.750 0.500 Sb
0.750 0.250 0.500 Sb
0.107 0.107 0.000 Pb
0.893 0.893 0.000 Pb
0.500 0.500 0.000 F

***

No. 17
B2SbTe, optimized geometry, DFT GGA-PBE; E above lowest polymorph = 3.42 eV/f.u.; formation energy without anion corrections = 6.42 eV/f.u.; space-group type = Fm-3m; calculated volume = 16.64 A^3/atom; E = -3.5503 eV/atom
1.0
0.000 3.217 3.217
3.217 0.000 3.217
3.217 3.217 0.000
B Sb Te
2 1 1
Direct
0.250 0.250 0.250 B
0.750 0.750 0.750 B
0.000 0.000 0.000 Sb
0.500 0.500 0.500 Te

***

No. 18
LaHoZn2Pd5, optimized geometry, DFT GGA-PBE; space-group type = P4/mmm; calculated volume = 18.58 A^3/atom; E = -4.8859 eV/atom
1.0
4.209 0.000 0.000
0.000 4.209 0.000
0.000 0.000 9.438
La Ho Zn Pd
1 1 2 5
Direct
0.000 0.000 0.000 La
0.000 0.000 0.500 Ho
0.500 0.500 0.373 Zn
0.500 0.500 0.627 Zn
0.000 0.500 0.230 Pd
0.000 0.500 0.770 Pd
0.500 0.000 0.230 Pd
0.500 0.000 0.770 Pd
0.500 0.500 0.000 Pd

***

No. 19
Ce2PrNdTl4, optimized geometry, DFT GGA-PBE; space-group type = R-3m; calculated volume = 29.97 A^3/atom; E = -4.1511 eV/atom
1.0
2.767 1.597 9.042
-2.767 1.597 9.042
0.000 -3.194 9.042
Ce Pr Nd Tl
2 1 1 4
Direct
0.250 0.250 0.250 Ce
0.750 0.750 0.750 Ce
0.000 0.000 0.000 Pr
0.500 0.500 0.500 Nd
0.125 0.125 0.125 Tl
0.375 0.375 0.375 Tl
0.625 0.625 0.625 Tl
0.875 0.875 0.875 Tl

***

No. 20
Li2CeBr4, optimized geometry, DFT GGA-PBE; formation energy without anion corrections = -9.70 eV/f.u.; space-group type = I4/m; calculated volume = 33.93 A^3/atom; E = -3.7360 eV/atom
1.0
-4.219 4.219 3.336
4.219 -4.219 3.336
4.219 4.219 -3.336
Li Ce Br
2 1 4
Direct
0.250 0.750 0.500 Li
0.750 0.250 0.500 Li
0.000 0.000 0.000 Ce
0.144 0.678 0.822 Br
0.322 0.144 0.467 Br
0.678 0.856 0.533 Br
0.856 0.322 0.178 Br

***

No. 21
Ba3ErZn2O6, optimized geometry, DFT GGA-PBE; formation energy without anion corrections = -26.90 eV/f.u.; space-group type = P-3m1; calculated volume = 19.16 A^3/atom; E = -5.7941 eV/atom
1.0
6.142 0.000 0.000
-3.071 5.319 0.000
0.000 0.000 7.039
Ba Er Zn O
3 1 2 6
Direct
0.000 0.000 0.000 Ba
0.333 0.667 0.644 Ba
0.667 0.333 0.356 Ba
0.000 0.000 0.500 Er
0.333 0.667 0.200 Zn
0.667 0.333 0.800 Zn
0.166 0.332 0.308 O
0.166 0.834 0.308 O
0.332 0.166 0.692 O
0.668 0.834 0.308 O
0.834 0.166 0.692 O
0.834 0.668 0.692 O